Below is a geometry-optimized TeH12AuC4S3N structure, with properties calculated at the GGA-PBEsol level.

Calculated values
Space-group type   P2_1/c, No. 14
ρ   3.06 g cm⁻³
E_tot   -5.001 eV/atom
Size of the total moment   0.000 μB/atom

a = 6.5906 Å, b = 8.9338 Å, c = 18.6411 Å
α = 90.00°, β = 90.00°, γ = 101.54°
Element x y z (fractional)
1 Te 0.0096 0.6266 0.1489
2 Te 0.9904 0.3734 0.8511
3 Te 0.9904 0.8734 0.6489
4 Te 0.0096 0.1266 0.3511
5 H 0.1115 0.2897 0.6213
6 H 0.3273 0.6954 0.7963
7 H 0.7303 0.7407 0.4546
8 H 0.7392 0.5592 0.2797
9 H 0.4619 0.4782 0.2783
10 H 0.8885 0.2103 0.1213
11 H 0.4093 0.4490 0.4353
12 H 0.8885 0.7103 0.3787
13 H 0.6390 0.8595 0.9507
14 H 0.3940 0.2343 0.2034
15 H 0.3273 0.1954 0.7037
16 H 0.7303 0.2407 0.0454
17 H 0.5148 0.8467 0.3709
18 H 0.6727 0.3046 0.2037
19 H 0.6060 0.2657 0.7034
20 H 0.5381 0.5218 0.7217
21 H 0.6727 0.8046 0.2963
22 H 0.6060 0.7657 0.7966
23 H 0.7512 0.4721 0.6258
24 H 0.2150 0.4469 0.5627
25 H 0.3693 0.0957 0.8395
26 H 0.3610 0.1405 0.0493
27 H 0.7850 0.5531 0.4373
28 H 0.4093 0.9490 0.0647
29 H 0.2488 0.5279 0.3742
30 H 0.2608 0.4408 0.7203
31 H 0.1115 0.7897 0.8787
32 H 0.6307 0.9043 0.1605
33 H 0.6390 0.3595 0.5493
34 H 0.4852 0.1533 0.6291
35 H 0.2697 0.2593 0.5454
36 H 0.2608 0.9408 0.7797
37 H 0.5907 0.0510 0.9353
38 H 0.7850 0.0531 0.0627
39 H 0.3940 0.7343 0.2966
40 H 0.4852 0.6533 0.8709
41 H 0.2697 0.7593 0.9546
42 H 0.6307 0.4043 0.3395
43 H 0.3693 0.5957 0.6605
44 H 0.5907 0.5510 0.5647
45 H 0.7512 0.9721 0.8742
46 H 0.5381 0.0218 0.7783
47 H 0.5148 0.3467 0.1291
48 H 0.2150 0.9469 0.9373
49 H 0.4619 0.9782 0.2217
50 H 0.7392 0.0592 0.2203
51 H 0.2488 0.0279 0.1258
52 H 0.3610 0.6405 0.4507
53 Au 0.7403 0.5474 0.9798
54 Au 0.2597 0.4526 0.0202
55 Au 0.7403 0.0474 0.5202
56 Au 0.2597 0.9526 0.4798
57 C 0.6025 0.0071 0.1884
58 C 0.3975 0.9929 0.8116
59 C 0.5352 0.7619 0.3298
60 C 0.2437 0.8409 0.9129
61 C 0.6161 0.4446 0.5898
62 C 0.6161 0.9446 0.9102
63 C 0.3839 0.5554 0.4102
64 C 0.4648 0.2381 0.6702
65 C 0.4648 0.7381 0.8298
66 C 0.7563 0.1591 0.0871
67 C 0.7563 0.6591 0.4129
68 C 0.6025 0.5071 0.3116
69 C 0.3975 0.4929 0.6884
70 C 0.5352 0.2619 0.1702
71 C 0.2437 0.3409 0.5871
72 C 0.3839 0.0554 0.0898
73 S 0.9451 0.1871 0.7637
74 S 0.1453 0.7500 0.5537
75 S 0.6429 0.8580 0.6029
76 S 0.3571 0.1420 0.3971
77 S 0.0549 0.3129 0.2637
78 S 0.1453 0.2500 0.9463
79 S 0.3571 0.6420 0.1029
80 S 0.6429 0.3580 0.8971
81 S 0.9451 0.6871 0.7363
82 S 0.8547 0.2500 0.4463
83 S 0.0549 0.8129 0.2363
84 S 0.8547 0.7500 0.0537
85 N 0.4310 0.8791 0.8664
86 N 0.4310 0.3791 0.6336
87 N 0.5690 0.1209 0.1336
88 N 0.5690 0.6209 0.3664



Below is a geometry-optimized AuCI3 structure, with properties calculated at the GGA-PBEsol level.

Calculated values
Raw formation energy   1.2604 eV/atom
Space-group type   Pm-3m, No. 221
ρ   8.21 g cm⁻³
Size of the total moment   0.000 μB/atom

a = 4.9218 Å, b = 4.9218 Å, c = 4.9218 Å
α = 90.00°, β = 90.00°, γ = 90.00°
Element x y z (fractional)
1 I 0.0000 0.5000 0.0000
2 I 0.0000 0.0000 0.5000
3 I 0.5000 0.0000 0.0000
4 C 0.0000 0.0000 0.0000
5 Au 0.5000 0.5000 0.5000



Below is a geometry-optimized AuCI2 structure, with properties calculated at the GGA-PBEsol level.

Calculated values
Raw formation energy   1.3974 eV/atom
Space-group type   I-42d, No. 122
ρ   7.34 g cm⁻³
Size of the total moment   0.000 μB/atom

a = 5.5950 Å, b = 5.5950 Å, c = 7.7695 Å
α = 111.10°, β = 111.10°, γ = 90.00°
Element x y z (fractional)
1 I 0.4362 0.8750 0.2500
2 I 0.8138 0.3750 0.2500
3 I 0.1250 0.1862 0.7500
4 I 0.6250 0.5638 0.7500
5 C 0.7500 0.2500 0.5000
6 C 0.5000 0.5000 0.0000
7 Au 0.2500 0.7500 0.5000
8 Au 0.0000 0.0000 0.0000



Below is a geometry-optimized AuCI2O structure, with properties calculated at the GGA-PBEsol level.

Calculated values
Raw formation energy   0.9743 eV/atom
Space-group type   P4/mmm, No. 123
ρ   7.81 g cm⁻³
Size of the total moment   0.000 μB/atom

a = 2.9760 Å, b = 5.8475 Å, c = 5.8475 Å
α = 90.00°, β = 90.00°, γ = 90.00°
Element x y z (fractional)
1 I 0.0000 0.0000 0.5000
2 I 0.0000 0.5000 0.0000
3 C 0.0000 0.0000 0.0000
4 Au 0.5000 0.5000 0.5000
5 O 0.5000 0.0000 0.0000



Below is a geometry-optimized InSiAuC2 structure, with properties calculated at the GGA-PBEsol level.

Calculated values
Raw formation energy   2.1288 eV/atom
Space-group type   P4/mmm, No. 123
ρ   6.70 g cm⁻³
Size of the total moment   0.004 μB/atom

a = 3.9461 Å, b = 3.9461 Å, c = 5.7912 Å
α = 90.00°, β = 90.00°, γ = 90.00°
Element x y z (fractional)
1 Si 0.5000 0.5000 0.5000
2 Au 0.0000 0.0000 0.0000
3 C 0.0000 0.5000 0.0000
4 C 0.5000 0.0000 0.0000
5 In 0.0000 0.0000 0.5000



Below is a geometry-optimized IrAu3C structure, with properties calculated at the GGA-PBEsol level.

Calculated values
Energy relative to the elements   2.625 eV per atom
Space-group type   Pm-3m, No. 221
ρ   11.01 g cm⁻³
Size of the total moment   0.318 μB/atom

a = 4.9318 Å, b = 4.9318 Å, c = 4.9318 Å
α = 90.00°, β = 90.00°, γ = 90.00°
Element x y z (fractional)
1 C 0.5000 0.5000 0.5000
2 Ir 0.0000 0.0000 0.0000
3 Au 0.0000 0.5000 0.0000
4 Au 0.0000 0.0000 0.5000
5 Au 0.5000 0.0000 0.0000



Below is a geometry-optimized TaIr2AuC structure, with properties calculated at the GGA-PBEsol level.

Calculated values
Energy relative to the elements   2.031 eV per atom
Space-group type   P4/mmm, No. 123
ρ   14.67 g cm⁻³
Size of the total moment   0.000 μB/atom

a = 3.5823 Å, b = 4.9470 Å, c = 4.9470 Å
α = 90.00°, β = 90.00°, γ = 90.00°
Element x y z (fractional)
1 C 0.5000 0.0000 0.0000
2 Ir 0.0000 0.0000 0.5000
3 Ir 0.0000 0.5000 0.0000
4 Au 0.0000 0.0000 0.0000
5 Ta 0.5000 0.5000 0.5000



Below is a geometry-optimized KAu2C structure, with properties calculated at the GGA-PBEsol level.

Calculated values
Energy relative to the elements   0.431 eV per atom
Space-group type   I4_1/amd, No. 141
ρ   7.35 g cm⁻³
Size of the total moment   0.000 μB/atom

a = 6.5370 Å, b = 6.5972 Å, c = 6.5370 Å
α = 60.30°, β = 90.00°, γ = 119.70°
Element x y z (fractional)
1 K 0.0000 0.0000 0.0000
2 K 0.7500 0.5000 0.7500
3 Au 0.3750 0.2500 0.3750
4 Au 0.8750 0.2500 0.3750
5 Au 0.3750 0.7500 0.3750
6 Au 0.3750 0.7500 0.8750
7 C 0.5000 0.0000 0.5000
8 C 0.2500 0.5000 0.2500